This record from Alexandria via LeMat-Bulk describes a geometry-optimized C3SeI structure. The functional is PBEsol.

Cell: 4.128 4.128 4.128 Å, 90.00 90.00 90.00°
Sites, in units of the cell vectors:
C 0.000 0.000 0.500
C 0.000 0.500 0.000
C 0.500 0.000 0.000
Se 0.500 0.500 0.500
I 0.000 0.000 0.000

Calculated values
The density of states at the Fermi level comes out at 0.691 states/eV/atom. The symmetry is Pm-3m, No. 221. Its total energy is -17.26 eV per cell. The total moment comes out at 0.0 μB per cell. Its formation energy without anion corrections is 3.457 eV per atom.

=====

This record from Alexandria via LeMat-Bulk describes a geometry-optimized HfMgSe2Br structure. The functional is PBEsol.

Cell: 4.971 4.971 4.712 Å, 90.00 90.00 90.00°
Sites, in units of the cell vectors:
Hf 0.000 0.000 0.000
Mg 0.500 0.500 0.500
Se 0.000 0.500 0.500
Se 0.500 0.000 0.500
Br 0.500 0.500 0.000

Calculated values
The density of states at the Fermi level comes out at 0.601 states/eV/atom. The symmetry is P4/mmm, No. 123. Its total energy is -22.19 eV per cell. The total moment comes out at 0.7 μB per cell. Its formation energy without anion corrections is -0.079 eV per atom.

=====

This record from Alexandria via LeMat-Bulk describes a geometry-optimized Al4AsP structure. The functional is PBEsol.

Cell: 5.243 5.243 5.243 Å, 60.00 60.00 60.00°
Sites, in units of the cell vectors:
Al 0.125 0.125 0.125
Al 0.125 0.125 0.625
Al 0.125 0.625 0.125
Al 0.625 0.125 0.125
As 0.500 0.500 0.500
P 0.750 0.750 0.750

Calculated values
The density of states at the Fermi level comes out at 0.587 states/eV/atom. The symmetry is F-43m, No. 216. Its total energy is -25.09 eV per cell. The total moment comes out at 0.0 μB per cell. For the formation energy, the calculation gives 34.9 kJ/mol of atoms.

=====

This record from Alexandria via LeMat-Bulk describes a geometry-optimized LaHgS2Cl structure. The functional is PBEsol.

Cell: 5.496 5.496 5.403 Å, 90.00 90.00 90.00°
Sites, in units of the cell vectors:
La 0.000 0.000 0.000
Hg 0.500 0.500 0.500
S 0.000 0.500 0.000
S 0.500 0.000 0.000
Cl 0.000 0.000 0.500

Calculated values
The density of states at the Fermi level comes out at 1.233 states/eV/atom. The symmetry is P4/mmm, No. 123. Its total energy is -19.95 eV per cell. Its energy above the most stable polymorph in this dataset is 52 meV/atom. The total moment comes out at 0.6 μB per cell. Its formation energy without anion corrections is -0.652 eV per atom.

=====

This record from Alexandria via LeMat-Bulk describes a geometry-optimized Ca3ZrFe structure. The functional is PBEsol.

Cell: 5.482 5.482 5.482 Å, 90.00 90.00 90.00°
Sites, in units of the cell vectors:
Ca 0.000 0.000 0.500
Ca 0.000 0.500 0.000
Ca 0.500 0.000 0.000
Zr 0.000 0.000 0.000
Fe 0.500 0.500 0.500

Calculated values
The density of states at the Fermi level comes out at 1.206 states/eV/atom. The symmetry is Pm-3m, No. 221. Its total energy is -16.86 eV per cell. Its energy above the most stable polymorph in this dataset is 631 meV/atom. The total moment comes out at 4.5 μB per cell. For the formation energy, the calculation gives 146.5 kJ/mol of atoms.

=====

This record from Alexandria via LeMat-Bulk describes a geometry-optimized CdTeSe structure. The functional is PBEsol.

Cell: 3.866 3.866 9.868 Å, 90.00 90.00 90.00°
Sites, in units of the cell vectors:
Cd 0.000 0.000 0.000
Cd 0.500 0.500 0.500
Te 0.000 0.000 0.340
Te 0.500 0.500 0.840
Se 0.000 0.000 0.615
Se 0.500 0.500 0.115

Calculated values
The density of states at the Fermi level comes out at 0.537 states/eV/atom. The symmetry is I4mm, No. 107. Its total energy is -16.78 eV per cell. Its energy above the most stable polymorph in this dataset is 150 meV/atom. The total moment comes out at 0.0 μB per cell. Its formation energy without anion corrections is 0.061 eV per atom.

=====

This record from Alexandria via LeMat-Bulk describes a geometry-optimized Pm3Tl structure. The functional is PBEsol.

Cell: 4.856 4.856 4.856 Å, 90.00 90.00 90.00°
Sites, in units of the cell vectors:
Pm 0.000 0.000 0.500
Pm 0.000 0.500 0.000
Pm 0.500 0.000 0.000
Tl 0.500 0.500 0.500

Calculated values
The density of states at the Fermi level comes out at 1.405 states/eV/atom. The symmetry is Pm-3m, No. 221. Its total energy is -19.08 eV per cell. The total moment comes out at 0.0 μB per cell. For the formation energy, the calculation gives -25.1 kJ/mol of atoms.

=====

This record from Alexandria via LeMat-Bulk describes a geometry-optimized MnBeZn2 structure. The functional is PBEsol.

Cell: 4.906 7.458 2.503 Å, 90.00 90.00 90.00°
Sites, in units of the cell vectors:
Mn 0.000 0.000 0.000
Mn 0.500 0.500 0.000
Be 0.000 0.500 0.000
Be 0.500 0.000 0.000
Zn 0.250 0.250 0.500
Zn 0.250 0.750 0.500
Zn 0.750 0.250 0.500
Zn 0.750 0.750 0.500

Calculated values
The density of states at the Fermi level comes out at 0.693 states/eV/atom. The symmetry is Cmmm, No. 65. Its total energy is -32.47 eV per cell. The total moment comes out at 1.8 μB per cell. For the formation energy, the calculation gives 16.6 kJ/mol of atoms.

=====

This record from Alexandria via LeMat-Bulk describes a geometry-optimized KZn2NiPd structure. The functional is PBEsol.

Cell: 4.600 4.600 4.789 Å, 90.00 90.00 90.00°
Sites, in units of the cell vectors:
K 0.000 0.000 0.000
Zn 0.000 0.500 0.500
Zn 0.500 0.000 0.500
Ni 0.500 0.500 0.500
Pd 0.500 0.500 0.000

Calculated values
The density of states at the Fermi level comes out at 0.984 states/eV/atom. The symmetry is P4/mmm, No. 123. Its total energy is -15.07 eV per cell. The total moment comes out at 0.2 μB per cell. For the formation energy, the calculation gives 26.0 kJ/mol of atoms.

=====

This record from Alexandria via LeMat-Bulk describes a geometry-optimized CaCu2W structure. The functional is PBEsol.

Cell: 2.724 3.721 6.454 Å, 90.00 90.00 90.00°
Sites, in units of the cell vectors:
Ca 0.000 0.000 0.000
Cu 0.500 0.500 0.304
Cu 0.500 0.500 0.696
W 0.000 0.000 0.500

Calculated values
The density of states at the Fermi level comes out at 0.792 states/eV/atom. The symmetry is Pmmm, No. 47. Its total energy is -22.96 eV per cell. Its energy above the most stable polymorph in this dataset is 0 meV/atom. The total moment comes out at 0.0 μB per cell. For the formation energy, the calculation gives 39.9 kJ/mol of atoms.

=====

This record from Alexandria via LeMat-Bulk describes a geometry-optimized KPb3 structure. The functional is PBEsol.

Cell: 11.259 11.259 3.375 Å, 90.00 90.00 120.00°
Sites, in units of the cell vectors:
K 0.000 0.000 0.000
K 0.333 0.667 0.667
K 0.667 0.333 0.333
Pb 0.000 0.500 0.000
Pb 0.167 0.333 0.333
Pb 0.167 0.833 0.333
Pb 0.333 0.167 0.667
Pb 0.500 0.000 0.000
Pb 0.500 0.500 0.000
Pb 0.667 0.833 0.333
Pb 0.833 0.167 0.667
Pb 0.833 0.667 0.667

Calculated values
The density of states at the Fermi level comes out at 0.544 states/eV/atom. The symmetry is R-3m, No. 166. Its total energy is -39.44 eV per cell. The total moment comes out at 0.0 μB per cell. For the formation energy, the calculation gives -0.4 kJ/mol of atoms.

=====

This record from Alexandria via LeMat-Bulk describes a geometry-optimized Cu2ReCl structure. The functional is PBEsol.

Cell: 3.530 3.530 8.635 Å, 90.00 90.00 90.00°
Sites, in units of the cell vectors:
Cu 0.000 0.500 0.250
Cu 0.000 0.500 0.750
Cu 0.500 0.000 0.250
Cu 0.500 0.000 0.750
Re 0.000 0.000 0.000
Re 0.500 0.500 0.500
Cl 0.000 0.000 0.500
Cl 0.500 0.500 0.000

Calculated values
The density of states at the Fermi level comes out at 1.130 states/eV/atom. The symmetry is I4/mmm, No. 139. Its total energy is -39.21 eV per cell. Its energy above the most stable polymorph in this dataset is 646 meV/atom. The total moment comes out at 2.1 μB per cell. Its formation energy without anion corrections is 1.100 eV per atom.